Material: Cr2TcHW
Method: DFT, PBE
State: relaxed

Cell: 3.8227 3.8227 3.8819 Å, 90.00 90.00 90.00°
Positions (direct):
Cr 0.5000 0.0000 0.0000
H 0.0000 0.0000 0.0000
Cr 0.0000 0.5000 0.0000
W 0.5000 0.5000 0.5000
Tc 0.0000 0.0000 0.5000

Summary:
* energy above the most stable polymorph in this dataset: 0.000 eV per atom
* DOS(E_F): 1.00 states/eV/atom